No. 1
The following is a DFT calculation (GGA-PBEsol) of a relaxed structure of LaMg2HgBr.

The structure belongs to space group P4/mmm (No. 123); the cell edges are 5.0070, 5.0070 and 6.1474 Å and the angles 90.00°, 90.00° and 90.00°. The distinct sites, in fractional coordinates, are La at (0.0000, 0.0000, 0.0000), Mg at (0.0000, 0.5000, 0.5000), Hg at (0.5000, 0.5000, 0.5000) and Br at (0.5000, 0.5000, 0.0000).

As for the density of states at the Fermi level: 0.94 states/eV per atom. The energy comes out at -11.36 eV per cell. The calculation puts the volume at 30.823 Å³/atom. For the formation energy without anion corrections, the calculation gives -0.03 eV per atom. The total magnetic moment is 0.1 μB per cell.

=====

No. 2
The following is a DFT calculation (GGA-PBEsol) of a relaxed structure of LaTcHgBr2.

The structure belongs to space group P4/mmm (No. 123); the cell edges are 5.3035, 5.3035 and 6.0279 Å and the angles 90.00°, 90.00° and 90.00°. The distinct sites, in fractional coordinates, are La at (0.0000, 0.0000, 0.0000), Tc at (0.5000, 0.5000, 0.0000), Hg at (0.0000, 0.0000, 0.5000) and Br at (0.0000, 0.5000, 0.5000).

As for the density of states at the Fermi level: 0.65 states/eV per atom. The energy comes out at -16.07 eV per cell. The calculation puts the volume at 33.909 Å³/atom. For the formation energy without anion corrections, the calculation gives 0.97 eV per atom. The total magnetic moment is 3.6 μB per cell.

=====

No. 3
The following is a DFT calculation (GGA-PBEsol) of a relaxed structure of La2TcHgBr.

The structure belongs to space group P4/mmm (No. 123); the cell edges are 5.6128, 5.6128 and 4.4932 Å and the angles 90.00°, 90.00° and 90.00°. The distinct sites, in fractional coordinates, are La at (0.0000, 0.5000, 0.0000), Tc at (0.0000, 0.0000, 0.5000), Hg at (0.5000, 0.5000, 0.5000) and Br at (0.0000, 0.0000, 0.0000).

As for the density of states at the Fermi level: 1.14 states/eV per atom. The energy comes out at -23.73 eV per cell. The calculation puts the volume at 28.310 Å³/atom. For the formation energy without anion corrections, the calculation gives 0.13 eV per atom. The total magnetic moment is 0.0 μB per cell.

=====

No. 4
The following is a DFT calculation (GGA-PBEsol) of a relaxed structure of LiHg2Br.

The structure belongs to space group F-43m (No. 216); the cell edges are 7.3655, 7.3655 and 7.3655 Å and the angles 90.00°, 90.00° and 90.00°. The distinct sites, in fractional coordinates, are Li at (0.0000, 0.0000, 0.0000), Hg at (0.0000, 0.0000, 0.5000), Hg at (0.2500, 0.2500, 0.7500) and Br at (0.2500, 0.2500, 0.2500).

The polymorph energy (0 for the lowest one) is 192 meV/atom. As for the density of states at the Fermi level: 0.03 states/eV per atom. The energy comes out at -26.71 eV per cell. The calculation puts the volume at 24.974 Å³/atom. For the formation energy without anion corrections, the calculation gives -0.43 eV per atom. The total magnetic moment is 0.0 μB per cell.

=====

No. 5
The following is a DFT calculation (GGA-PBEsol) of a relaxed structure of LiHgBr.

The structure belongs to space group I4mm (No. 107); the cell edges are 3.6134, 3.6134 and 13.0692 Å and the angles 90.00°, 90.00° and 90.00°. The distinct sites, in fractional coordinates, are Li at (0.0000, 0.0000, 0.0000), Hg at (0.0000, 0.0000, 0.2195) and Br at (0.0000, 0.0000, 0.4829).

As for the density of states at the Fermi level: 0.00 states/eV per atom. The energy comes out at -13.89 eV per cell. The calculation puts the volume at 28.441 Å³/atom. For the formation energy without anion corrections, the calculation gives -0.85 eV per atom. The total magnetic moment is 0.0 μB per cell.

=====

No. 6
The following is a DFT calculation (GGA-PBEsol) of a relaxed structure of LiHgBr3.

The structure belongs to space group Pm-3m (No. 221); the cell edges are 5.4726, 5.4726 and 5.4726 Å and the angles 90.00°, 90.00° and 90.00°. The distinct sites, in fractional coordinates, are Li at (0.0000, 0.0000, 0.0000), Hg at (0.5000, 0.5000, 0.5000) and Br at (0.0000, 0.5000, 0.5000).

As for the density of states at the Fermi level: 0.24 states/eV per atom. The energy comes out at -10.93 eV per cell. The calculation puts the volume at 32.779 Å³/atom. For the formation energy without anion corrections, the calculation gives -0.56 eV per atom. The total magnetic moment is 0.0 μB per cell.

=====

No. 7
The following is a DFT calculation (GGA-PBEsol) of a relaxed structure of LiHg2Br.

The structure belongs to space group Pm (No. 6); the cell edges are 3.6307, 3.6093 and 8.4255 Å and the angles 90.00°, 102.09° and 90.00°. The distinct sites, in fractional coordinates, are Li at (0.0000, 0.0000, 0.0000), Hg at (0.1811, 0.0000, 0.3643), Hg at (0.7941, 0.5000, 0.6006) and Br at (0.4975, 0.5000, 0.9948).

The polymorph energy (0 for the lowest one) is 0 meV/atom. The energy comes out at -7.45 eV per cell. The calculation puts the volume at 26.991 Å³/atom. For the formation energy without anion corrections, the calculation gives -0.62 eV per atom. The total magnetic moment is 0.0 μB per cell.

=====

No. 8
The following is a DFT calculation (GGA-PBEsol) of a relaxed structure of LiHg2Br.

The structure belongs to space group R3m (No. 160, hexagonal axes); the cell edges are 3.8628, 3.8628 and 24.4566 Å and the angles 90.00°, 90.00° and 120.00°. The distinct sites, in fractional coordinates, are Li at (0.0000, 0.0000, 0.0000), Hg at (0.0000, 0.0000, 0.5158), Hg at (0.0000, 0.0000, 0.7585) and Br at (0.0000, 0.0000, 0.2929).

The polymorph energy (0 for the lowest one) is 18 meV/atom. The energy comes out at -22.12 eV per cell. The calculation puts the volume at 26.337 Å³/atom. For the formation energy without anion corrections, the calculation gives -0.60 eV per atom. The total magnetic moment is 0.0 μB per cell.

=====

No. 9
The following is a DFT calculation (GGA-PBEsol) of a relaxed structure of LiHg2Br.

The structure belongs to space group P4/mmm (No. 123); the cell edges are 3.4935, 3.4935 and 7.6556 Å and the angles 90.00°, 90.00° and 90.00°. The distinct sites, in fractional coordinates, are Li at (0.0000, 0.0000, 0.0000), Hg at (0.5000, 0.5000, 0.2365) and Br at (0.0000, 0.0000, 0.5000).

The polymorph energy (0 for the lowest one) is 253 meV/atom. As for the density of states at the Fermi level: 0.09 states/eV per atom. The energy comes out at -6.43 eV per cell. The calculation puts the volume at 23.358 Å³/atom. For the formation energy without anion corrections, the calculation gives -0.37 eV per atom. The total magnetic moment is 0.0 μB per cell.

=====

No. 10
The following is a DFT calculation (GGA-PBEsol) of a relaxed structure of LiHg2Br.

The structure belongs to space group P4mm (No. 99); the cell edges are 3.6146, 3.6146 and 8.6090 Å and the angles 90.00°, 90.00° and 90.00°. The distinct sites, in fractional coordinates, are Li at (0.0000, 0.0000, 0.0000), Hg at (0.0000, 0.0000, 0.3437), Hg at (0.5000, 0.5000, 0.5687) and Br at (0.5000, 0.5000, 0.9815).

The polymorph energy (0 for the lowest one) is 5 meV/atom. The energy comes out at -7.43 eV per cell. The calculation puts the volume at 28.120 Å³/atom. For the formation energy without anion corrections, the calculation gives -0.61 eV per atom. The total magnetic moment is 0.0 μB per cell.

=====

No. 11
The following is a DFT calculation (GGA-PBEsol) of a relaxed structure of LiHg2Br.

The structure belongs to space group P4/mmm (No. 123); the cell edges are 4.0213, 4.0213 and 6.2901 Å and the angles 90.00°, 90.00° and 90.00°. The distinct sites, in fractional coordinates, are Li at (0.0000, 0.0000, 0.0000), Hg at (0.0000, 0.5000, 0.5000) and Br at (0.5000, 0.5000, 0.0000).

The polymorph energy (0 for the lowest one) is 46 meV/atom. As for the density of states at the Fermi level: 0.19 states/eV per atom. The energy comes out at -7.26 eV per cell. The calculation puts the volume at 25.429 Å³/atom. For the formation energy without anion corrections, the calculation gives -0.57 eV per atom. The total magnetic moment is 0.0 μB per cell.

=====

No. 12
The following is a DFT calculation (GGA-PBEsol) of a relaxed structure of MgHgBr2.

The structure belongs to space group C2/m (No. 12); the cell edges are 6.5310, 3.7703 and 9.7849 Å and the angles 90.00°, 102.75° and 90.00°. The distinct sites, in fractional coordinates, are Mg at (0.0000, 0.0000, 0.0000), Hg at (0.0000, 0.5000, 0.5000) and Br at (0.2195, 0.5000, 0.1597).

The polymorph energy (0 for the lowest one) is 0 meV/atom. As for the density of states at the Fermi level: 0.00 states/eV per atom. The energy comes out at -20.35 eV per cell. The calculation puts the volume at 29.374 Å³/atom. For the formation energy without anion corrections, the calculation gives -1.04 eV per atom. The total magnetic moment is 0.0 μB per cell.

=====

No. 13
The following is a DFT calculation (GGA-PBEsol) of a relaxed structure of MgHgBr2.

The structure belongs to space group P4/mmm (No. 123); the cell edges are 5.0992, 5.0992 and 3.7830 Å and the angles 90.00°, 90.00° and 90.00°. The distinct sites, in fractional coordinates, are Mg at (0.0000, 0.0000, 0.0000), Hg at (0.5000, 0.5000, 0.0000) and Br at (0.0000, 0.5000, 0.5000).

The polymorph energy (0 for the lowest one) is 626 meV/atom. As for the density of states at the Fermi level: 0.46 states/eV per atom. The energy comes out at -7.67 eV per cell. The calculation puts the volume at 24.591 Å³/atom. For the formation energy without anion corrections, the calculation gives -0.41 eV per atom. The total magnetic moment is 0.0 μB per cell.

=====

No. 14
The following is a DFT calculation (GGA-PBEsol) of a relaxed structure of MgHg2Br.

The structure belongs to space group I4/mmm (No. 139); the cell edges are 4.1260, 4.1260 and 11.7448 Å and the angles 90.00°, 90.00° and 90.00°. The distinct sites, in fractional coordinates, are Mg at (0.0000, 0.0000, 0.0000), Hg at (0.0000, 0.5000, 0.2500) and Br at (0.0000, 0.0000, 0.5000).

The polymorph energy (0 for the lowest one) is 96 meV/atom. As for the density of states at the Fermi level: 0.34 states/eV per atom. The energy comes out at -11.82 eV per cell. The calculation puts the volume at 24.993 Å³/atom. For the formation energy without anion corrections, the calculation gives -0.30 eV per atom. The total magnetic moment is 0.0 μB per cell.

=====

No. 15
The following is a DFT calculation (GGA-PBEsol) of a relaxed structure of MgHg2Br.

The structure belongs to space group Cmm2 (No. 35); the cell edges are 4.7405, 4.8692 and 8.3923 Å and the angles 90.00°, 90.00° and 90.00°. The distinct sites, in fractional coordinates, are Mg at (0.0000, 0.0000, 0.0000), Hg at (0.0000, 0.0000, 0.5266), Hg at (0.0000, 0.5000, 0.7807) and Br at (0.0000, 0.5000, 0.1833).

The polymorph energy (0 for the lowest one) is 0 meV/atom. As for the density of states at the Fermi level: 0.34 states/eV per atom. The energy comes out at -12.59 eV per cell. The calculation puts the volume at 24.215 Å³/atom. For the formation energy without anion corrections, the calculation gives -0.39 eV per atom. The total magnetic moment is 0.0 μB per cell.